Entry 1:
# NaSb2Te2 PBE-GGA optimized geometry
data_NaSb2Te2
_cell_length_a 4.560
_cell_length_b 4.560
_cell_length_c 8.537
_cell_angle_alpha 74.51
_cell_angle_beta 74.51
_cell_angle_gamma 90.00
_space_group_name_H-M_alt 'P 1'
_space_group_IT_number 1
_space_group_name_Hall 'P 1'
loop_
_atom_site_label
_atom_site_type_symbol
_atom_site_fract_x
_atom_site_fract_y
_atom_site_fract_z
Sb1 Sb 0.414 0.414 0.172
Sb2 Sb 0.586 0.586 0.828
Te1 Te 0.750 0.250 0.500
Te2 Te 0.250 0.750 0.500
Na1 Na 0.000 0.000 0.000
# **D(E_F)**: 2.59 states/eV per cell
# **Energy above the lowest structure with this stoichiometry**: 20.9 kJ/mol of atoms

***

Entry 2:
# Na3Sb2Te4 PBE-GGA optimized geometry
data_Na3Sb2Te4
_cell_length_a 9.925
_cell_length_b 8.159
_cell_length_c 8.159
_cell_angle_alpha 78.68
_cell_angle_beta 90.23
_cell_angle_gamma 90.23
_space_group_name_H-M_alt 'P 1'
_space_group_IT_number 1
_space_group_name_Hall 'P 1'
loop_
_atom_site_label
_atom_site_type_symbol
_atom_site_fract_x
_atom_site_fract_y
_atom_site_fract_z
Na1 Na 0.056 0.012 0.236
Na2 Na 0.444 0.764 0.988
Na3 Na 0.944 0.988 0.764
Na4 Na 0.556 0.236 0.012
Na5 Na 0.250 0.627 0.373
Na6 Na 0.750 0.373 0.627
Sb1 Sb 0.404 0.229 0.538
Sb2 Sb 0.096 0.462 0.771
Sb3 Sb 0.596 0.771 0.462
Sb4 Sb 0.904 0.538 0.229
Te1 Te 0.387 0.986 0.277
Te2 Te 0.113 0.723 0.014
Te3 Te 0.613 0.014 0.723
Te4 Te 0.887 0.277 0.986
Te5 Te 0.081 0.280 0.480
Te6 Te 0.419 0.520 0.720
Te7 Te 0.919 0.720 0.520
Te8 Te 0.581 0.480 0.280
# **D(E_F)**: 2.37 states/eV per cell
# **Energy above the lowest structure with this stoichiometry**: 0.0 kJ/mol of atoms

***

Entry 3:
# Na3Sb5Te12 PBE-GGA optimized geometry
data_Na3Sb5Te12
_cell_length_a 15.729
_cell_length_b 15.729
_cell_length_c 15.729
_cell_angle_alpha 109.47
_cell_angle_beta 109.47
_cell_angle_gamma 109.47
_space_group_name_H-M_alt 'P 1'
_space_group_IT_number 1
_space_group_name_Hall 'P 1'
loop_
_atom_site_label
_atom_site_type_symbol
_atom_site_fract_x
_atom_site_fract_y
_atom_site_fract_z
Na1 Na 0.750 0.375 0.125
Na2 Na 0.875 0.750 0.125
Na3 Na 0.375 0.750 0.625
Na4 Na 0.250 0.125 0.375
Na5 Na 0.875 0.125 0.250
Na6 Na 0.375 0.625 0.250
Na7 Na 0.625 0.375 0.750
Na8 Na 0.125 0.875 0.750
Na9 Na 0.750 0.875 0.625
Na10 Na 0.625 0.250 0.375
Na11 Na 0.125 0.250 0.875
Na12 Na 0.250 0.625 0.875
Sb1 Sb 0.125 0.375 0.250
Sb2 Sb 0.000 0.500 0.000
Sb3 Sb 0.000 0.000 0.000
Sb4 Sb 0.375 0.250 0.125
Sb5 Sb 0.500 0.000 0.500
Sb6 Sb 0.500 0.500 0.000
Sb7 Sb 0.125 0.750 0.375
Sb8 Sb 0.750 0.125 0.875
Sb9 Sb 0.750 0.625 0.375
Sb10 Sb 0.375 0.125 0.750
Sb11 Sb 0.625 0.875 0.250
Sb12 Sb 0.500 0.500 0.500
Sb13 Sb 0.500 0.000 0.000
Sb14 Sb 0.000 0.000 0.500
Sb15 Sb 0.250 0.375 0.625
Sb16 Sb 0.250 0.875 0.125
Sb17 Sb 0.000 0.500 0.500
Sb18 Sb 0.875 0.250 0.625
Sb19 Sb 0.625 0.750 0.875
Sb20 Sb 0.875 0.625 0.750
Te1 Te 0.718 0.131 0.045
Te2 Te 0.327 0.545 0.414
Te3 Te 0.955 0.369 0.282
Te4 Te 0.545 0.218 0.131
Te5 Te 0.587 0.718 0.673
Te6 Te 0.955 0.586 0.173
Te7 Te 0.327 0.782 0.413
Te8 Te 0.086 0.913 0.131
Te9 Te 0.586 0.955 0.673
Te10 Te 0.718 0.587 0.173
Te11 Te 0.782 0.455 0.369
Te12 Te 0.827 0.914 0.045
Te13 Te 0.131 0.718 0.545
Te14 Te 0.369 0.414 0.087
Te15 Te 0.087 0.914 0.369
Te16 Te 0.413 0.131 0.586
Te17 Te 0.087 0.173 0.218
Te18 Te 0.455 0.673 0.086
Te19 Te 0.827 0.913 0.282
Te20 Te 0.131 0.413 0.086
Te21 Te 0.369 0.955 0.782
Te22 Te 0.586 0.631 0.413
Te23 Te 0.914 0.827 0.545
Te24 Te 0.782 0.327 0.913
Te25 Te 0.414 0.369 0.587
Te26 Te 0.086 0.173 0.455
Te27 Te 0.218 0.673 0.087
Te28 Te 0.173 0.087 0.718
Te29 Te 0.631 0.045 0.218
Te30 Te 0.869 0.587 0.914
Te31 Te 0.545 0.327 0.914
Te32 Te 0.587 0.869 0.414
Te33 Te 0.913 0.827 0.782
Te34 Te 0.913 0.086 0.631
Te35 Te 0.869 0.282 0.455
Te36 Te 0.173 0.086 0.955
Te37 Te 0.631 0.586 0.913
Te38 Te 0.414 0.045 0.327
Te39 Te 0.282 0.413 0.827
Te40 Te 0.218 0.545 0.631
Te41 Te 0.914 0.087 0.869
Te42 Te 0.673 0.218 0.587
Te43 Te 0.455 0.782 0.869
Te44 Te 0.045 0.414 0.827
Te45 Te 0.413 0.282 0.327
Te46 Te 0.045 0.631 0.718
Te47 Te 0.673 0.455 0.586
Te48 Te 0.282 0.869 0.955
# **D(E_F)**: 50.10 states/eV per cell
# **Final energy**: -259.151 eV for the cell shown

***

Entry 4:
# NaSb2Te2 PBE-GGA optimized geometry
data_NaSb2Te2
_cell_length_a 8.818
_cell_length_b 8.818
_cell_length_c 4.096
_cell_angle_alpha 90.00
_cell_angle_beta 90.00
_cell_angle_gamma 90.00
_space_group_name_H-M_alt 'P 1'
_space_group_IT_number 1
_space_group_name_Hall 'P 1'
loop_
_atom_site_label
_atom_site_type_symbol
_atom_site_fract_x
_atom_site_fract_y
_atom_site_fract_z
Sb1 Sb 0.363 0.863 0.000
Sb2 Sb 0.863 0.637 0.000
Sb3 Sb 0.637 0.137 0.000
Sb4 Sb 0.137 0.363 0.000
Te1 Te 0.196 0.696 0.500
Te2 Te 0.696 0.804 0.500
Te3 Te 0.804 0.304 0.500
Te4 Te 0.304 0.196 0.500
Na1 Na 0.000 0.000 0.000
Na2 Na 0.500 0.500 0.000
# **D(E_F)**: 2.87 states/eV per cell
# **Energy above the lowest structure with this stoichiometry**: 0.0 kJ/mol of atoms

***

Entry 5:
# Na2Sb2Te PBE-GGA optimized geometry
data_Na2Sb2Te
_cell_length_a 8.066
_cell_length_b 8.066
_cell_length_c 4.727
_cell_angle_alpha 90.00
_cell_angle_beta 90.00
_cell_angle_gamma 90.00
_space_group_name_H-M_alt 'P 1'
_space_group_IT_number 1
_space_group_name_Hall 'P 1'
loop_
_atom_site_label
_atom_site_type_symbol
_atom_site_fract_x
_atom_site_fract_y
_atom_site_fract_z
Sb1 Sb 0.373 0.873 0.000
Sb2 Sb 0.873 0.627 0.000
Sb3 Sb 0.627 0.127 0.000
Sb4 Sb 0.127 0.373 0.000
Te1 Te 0.000 0.000 0.000
Te2 Te 0.500 0.500 0.000
Na1 Na 0.173 0.673 0.500
Na2 Na 0.673 0.827 0.500
Na3 Na 0.827 0.327 0.500
Na4 Na 0.327 0.173 0.500
# **D(E_F)**: 5.95 states/eV per cell
# **Energy above the lowest structure with this stoichiometry**: 0.0 kJ/mol of atoms

***

Entry 6:
# NaSb2Te3 PBE-GGA optimized geometry
data_NaSb2Te3
_cell_length_a 5.105
_cell_length_b 7.969
_cell_length_c 11.621
_cell_angle_alpha 106.33
_cell_angle_beta 102.69
_cell_angle_gamma 90.00
_space_group_name_H-M_alt 'P 1'
_space_group_IT_number 1
_space_group_name_Hall 'P 1'
loop_
_atom_site_label
_atom_site_type_symbol
_atom_site_fract_x
_atom_site_fract_y
_atom_site_fract_z
Na1 Na 0.364 0.154 0.728
Na2 Na 0.636 0.846 0.272
Sb1 Sb 0.263 0.630 0.526
Sb2 Sb 0.737 0.370 0.474
Sb3 Sb 0.915 0.823 0.830
Sb4 Sb 0.085 0.177 0.170
Te1 Te 0.218 0.132 0.436
Te2 Te 0.044 0.797 0.089
Te3 Te 0.384 0.595 0.767
Te4 Te 0.782 0.868 0.564
Te5 Te 0.616 0.405 0.233
Te6 Te 0.956 0.203 0.911
# **D(E_F)**: 3.01 states/eV per cell
# **Energy above the lowest structure with this stoichiometry**: 6.8 kJ/mol of atoms

***

Entry 7:
# Na3Sb2Te4 PBE-GGA optimized geometry
data_Na3Sb2Te4
_cell_length_a 9.138
_cell_length_b 8.798
_cell_length_c 10.114
_cell_angle_alpha 115.78
_cell_angle_beta 114.15
_cell_angle_gamma 90.00
_space_group_name_H-M_alt 'P 1'
_space_group_IT_number 1
_space_group_name_Hall 'P 1'
loop_
_atom_site_label
_atom_site_type_symbol
_atom_site_fract_x
_atom_site_fract_y
_atom_site_fract_z
Na1 Na 0.098 0.848 0.817
Na2 Na 0.402 0.030 0.183
Na3 Na 0.902 0.152 0.183
Na4 Na 0.598 0.970 0.817
Na5 Na 0.750 0.517 0.000
Na6 Na 0.250 0.483 0.000
Sb1 Sb 0.712 0.480 0.456
Sb2 Sb 0.788 0.024 0.544
Sb3 Sb 0.288 0.520 0.544
Sb4 Sb 0.212 0.976 0.456
Te1 Te 0.440 0.712 0.891
Te2 Te 0.060 0.821 0.109
Te3 Te 0.560 0.288 0.109
Te4 Te 0.940 0.179 0.891
Te5 Te 0.977 0.744 0.456
Te6 Te 0.523 0.288 0.544
Te7 Te 0.023 0.256 0.544
Te8 Te 0.477 0.712 0.456
# **D(E_F)**: 5.24 states/eV per cell
# **Energy above the lowest structure with this stoichiometry**: 0.4 kJ/mol of atoms

***

Entry 8:
# Na5Sb2Te5 PBE-GGA optimized geometry
data_Na5Sb2Te5
_cell_length_a 4.860
_cell_length_b 7.491
_cell_length_c 12.994
_cell_angle_alpha 107.45
_cell_angle_beta 90.00
_cell_angle_gamma 108.93
_space_group_name_H-M_alt 'P 1'
_space_group_IT_number 1
_space_group_name_Hall 'P 1'
loop_
_atom_site_label
_atom_site_type_symbol
_atom_site_fract_x
_atom_site_fract_y
_atom_site_fract_z
Na1 Na 0.500 0.000 0.500
Na2 Na 0.651 0.303 0.036
Na3 Na 0.731 0.462 0.352
Na4 Na 0.269 0.538 0.648
Na5 Na 0.349 0.697 0.964
Sb1 Sb 0.055 0.111 0.786
Sb2 Sb 0.945 0.889 0.214
Te1 Te 0.112 0.223 0.409
Te2 Te 0.681 0.362 0.795
Te3 Te 0.319 0.638 0.205
Te4 Te 0.888 0.777 0.591
Te5 Te 0.000 0.000 0.000
# **D(E_F)**: 1.60 states/eV per cell
# **Final energy**: -36.709 eV for the cell shown

***

Entry 9:
# Na3SbTe3 PBE-GGA optimized geometry
data_Na3SbTe3
_cell_length_a 7.908
_cell_length_b 7.908
_cell_length_c 9.253
_cell_angle_alpha 79.70
_cell_angle_beta 79.70
_cell_angle_gamma 110.03
_space_group_name_H-M_alt 'P 1'
_space_group_IT_number 1
_space_group_name_Hall 'P 1'
loop_
_atom_site_label
_atom_site_type_symbol
_atom_site_fract_x
_atom_site_fract_y
_atom_site_fract_z
Na1 Na 0.607 0.607 0.276
Na2 Na 0.162 0.838 0.500
Na3 Na 0.838 0.162 0.500
Na4 Na 0.182 0.818 0.000
Na5 Na 0.818 0.182 0.000
Na6 Na 0.393 0.393 0.724
Sb1 Sb 0.715 0.715 0.876
Sb2 Sb 0.285 0.285 0.124
Te1 Te 0.958 0.958 0.254
Te2 Te 0.813 0.473 0.722
Te3 Te 0.473 0.813 0.722
Te4 Te 0.187 0.527 0.278
Te5 Te 0.527 0.187 0.278
Te6 Te 0.042 0.042 0.746
# **Energy above the lowest structure with this stoichiometry**: 6.3 kJ/mol of atoms